Crystalline CaTb3Pr2Sm6 at its relaxed geometry, computed with PBE.

The total energy is -53.4 eV per cell. For the density of states at the Fermi level, the calculation gives 1.32 states/eV per atom. The formation energy is 0.032 eV per atom.

abc: 6.3082 6.3082 12.0573
angles: 94.99 94.99 120.01
Element x y z (fractional)
Ca (0.0000, 0.0000, 0.0000)
Tb (0.1658, 0.8342, 0.5000)
Tb (0.5000, 0.5000, 0.5000)
Tb (0.8342, 0.1658, 0.5000)
Pr (0.3331, 0.6669, 0.0000)
Pr (0.6669, 0.3331, 0.0000)
Sm (0.0860, 0.4235, 0.2560)
Sm (0.2513, 0.2513, 0.7433)
Sm (0.4235, 0.0860, 0.2560)
Sm (0.5765, 0.9140, 0.7440)
Sm (0.7487, 0.7487, 0.2567)
Sm (0.9140, 0.5765, 0.7440)


Crystalline AcBi2Au6 at its relaxed geometry, computed with PBE.

The total energy is -34.1 eV per cell. For the density of states at the Fermi level, the calculation gives 0.45 states/eV per atom. The formation energy is -0.282 eV per atom.

abc: 8.3044 8.3044 8.3044
angles: 151.87 122.94 64.81
Element x y z (fractional)
Ac (0.0000, 0.0000, 0.0000)
Bi (0.3608, 0.8608, 0.5000)
Bi (0.6392, 0.1392, 0.5000)
Au (0.0005, 0.3204, 0.6801)
Au (0.3154, 0.5000, 0.8154)
Au (0.3597, 0.6796, 0.6801)
Au (0.6403, 0.3204, 0.3199)
Au (0.6846, 0.5000, 0.1846)
Au (0.9995, 0.6796, 0.3199)